Record 1
Pr3SmRh: relaxed, GGA-PBE.

Geometry as CIF:
```
data_Pr3SmRh
_symmetry_space_group_name_H-M 'P 1'
_symmetry_Int_Tables_number 1
_cell_length_a 5.735
_cell_length_b 7.528
_cell_length_c 7.540
_cell_angle_alpha 102.49
_cell_angle_beta 90.01
_cell_angle_gamma 90.05
loop_
_symmetry_equiv_pos_as_xyz
'x,y,z'
loop_
_atom_site_label
_atom_site_fract_x
_atom_site_fract_y
_atom_site_fract_z
_atom_site_occupancy
Pr1 0.000 0.000 0.000 1
Pr2 0.000 0.042 0.465 1
Pr3 0.000 0.509 0.342 1
Pr4 0.001 0.465 0.863 1
Pr5 0.500 0.236 0.275 1
Pr6 0.501 0.633 0.694 1
Sm1 0.500 0.116 0.741 1
Sm2 0.500 0.765 0.226 1
Rh1 0.002 0.766 0.664 1
Rh2 0.501 0.433 0.996 1
```

Computed properties:
Offset from the most stable computed form, meV/atom: 58
Magnetic moment, Bohr magnetons per cell: 0.0
DFT formation energy, kJ/mol of formula units: -123
Crystal system: triclinic

Record 2
PrSmRh: relaxed, GGA-PBE.

Geometry as CIF:
```
data_PrSmRh
_symmetry_space_group_name_H-M 'P 3 m 1'
_symmetry_Int_Tables_number 156
_cell_length_a 4.1273
_cell_length_b 4.1273
_cell_length_c 6.3971
_cell_angle_alpha 90.00
_cell_angle_beta 90.00
_cell_angle_gamma 120.00
loop_
_symmetry_equiv_pos_as_xyz
'x,y,z'
'-y,x-y,z'
'-x+y,-x,z'
'-y,-x,z'
'-x+y,y,z'
'x,x-y,z'
loop_
_atom_site_label
_atom_site_fract_x
_atom_site_fract_y
_atom_site_fract_z
_atom_site_occupancy
Pr1 0.0000 0.0000 0.0000 1
Sm1 0.3333 0.6667 0.4767 1
Rh1 0.6667 0.3333 0.2449 1
```

Computed properties:
Offset from the most stable computed form, meV/atom: 66
Magnetic moment, Bohr magnetons per cell: 0.0
DFT formation energy, kJ/mol of formula units: -130
Crystal system: trigonal

Record 3
Pr2Sm2Rh3: relaxed, GGA-PBE.

Geometry as CIF:
```
data_Pr2Sm2Rh3
_symmetry_space_group_name_H-M 'I 21 3'
_symmetry_Int_Tables_number 199
_symmetry_space_group_name_Hall 'I 2b 2c 3'
_cell_length_a 8.852
_cell_length_b 8.852
_cell_length_c 8.852
_cell_angle_alpha 90.00
_cell_angle_beta 90.00
_cell_angle_gamma 90.00
loop_
_atom_site_label
_atom_site_fract_x
_atom_site_fract_y
_atom_site_fract_z
_atom_site_occupancy
Pr1 0.189 0.189 0.189 1
Sm1 0.058 0.442 0.558 1
Rh1 0.000 0.250 0.856 1
```

Computed properties:
Offset from the most stable computed form, meV/atom: 0
Magnetic moment, Bohr magnetons per cell: 0.0
DFT formation energy, kJ/mol of formula units: -430
Crystal system: cubic

Record 4
PrSmRh: relaxed, GGA-PBE.

Geometry as CIF:
```
data_PrSmRh
_symmetry_space_group_name_H-M 'A m m 2'
_symmetry_Int_Tables_number 38
_cell_length_a 4.912
_cell_length_b 12.990
_cell_length_c 7.524
_cell_angle_alpha 90.00
_cell_angle_beta 90.00
_cell_angle_gamma 90.00
loop_
_symmetry_equiv_pos_as_xyz
'x,y,z'
'-x,-y,z'
'-x,y,z'
'x,-y,z'
'x,y+1/2,z+1/2'
'-x,-y+1/2,z+1/2'
'-x,y+1/2,z+1/2'
'x,-y+1/2,z+1/2'
loop_
_atom_site_label
_atom_site_fract_x
_atom_site_fract_y
_atom_site_fract_z
_atom_site_occupancy
Pr1 0.000 0.000 0.000 1
Pr2 0.000 0.201 0.601 1
Sm1 0.500 0.000 0.670 1
Sm2 0.500 0.134 0.267 1
Rh1 0.000 0.000 0.401 1
Rh2 0.500 0.167 0.901 1
```

Computed properties:
Offset from the most stable computed form, meV/atom: 22
Magnetic moment, Bohr magnetons per cell: 0.0
DFT formation energy, kJ/mol of formula units: -143
Crystal system: orthorhombic

Record 5
PrSmRh2: relaxed, GGA-PBE.

Geometry as CIF:
```
data_PrSmRh2
_symmetry_space_group_name_H-M 'P 4/m m m'
_symmetry_Int_Tables_number 123
_symmetry_space_group_name_Hall '-P 4 2'
_cell_length_a 4.969
_cell_length_b 4.969
_cell_length_c 3.578
_cell_angle_alpha 90.00
_cell_angle_beta 90.00
_cell_angle_gamma 90.00
loop_
_atom_site_label
_atom_site_fract_x
_atom_site_fract_y
_atom_site_fract_z
_atom_site_occupancy
Pr1 0.000 0.000 0.000 1
Sm1 0.500 0.500 0.000 1
Rh1 0.000 0.500 0.500 1
```

Computed properties:
Magnetic moment, Bohr magnetons per cell: 0.0
DFT formation energy, kJ/mol of formula units: -250
Crystal system: tetragonal

Record 6
Pr3SmRh3: relaxed, GGA-PBE.

Geometry as CIF:
```
data_Pr3SmRh3
_symmetry_space_group_name_H-M 'C 1 2/m 1'
_symmetry_Int_Tables_number 12
_cell_length_a 9.414
_cell_length_b 10.613
_cell_length_c 7.231
_cell_angle_alpha 90.00
_cell_angle_beta 90.59
_cell_angle_gamma 90.00
loop_
_symmetry_equiv_pos_as_xyz
'x,y,z'
'-x,-y,-z'
'-x,y,-z'
'x,-y,z'
'x+1/2,y+1/2,z'
'-x+1/2,-y+1/2,-z'
'-x+1/2,y+1/2,-z'
'x+1/2,-y+1/2,z'
loop_
_atom_site_label
_atom_site_fract_x
_atom_site_fract_y
_atom_site_fract_z
_atom_site_occupancy
Pr1 0.000 0.181 0.000 1
Pr2 0.000 0.249 0.500 1
Pr3 0.170 0.500 0.874 1
Sm1 0.244 0.000 0.627 1
Rh1 0.063 0.000 0.304 1
Rh2 0.247 0.253 0.227 1
```

Computed properties:
Magnetic moment, Bohr magnetons per cell: 0.0
DFT formation energy, kJ/mol of formula units: -361
Crystal system: monoclinic